Model w:
# MgSi2Hg, optimized geometry, DFT PBE
# N(E_F) (states/eV per cell): 3.3
data_MgSi2Hg
_symmetry_space_group_name_H-M 'I -4 m 2'
_symmetry_Int_Tables_number 119
_symmetry_space_group_name_Hall 'I -4 -2'
_cell_length_a 4.171
_cell_length_b 4.171
_cell_length_c 8.622
_cell_angle_alpha 90.00
_cell_angle_beta 90.00
_cell_angle_gamma 90.00
loop_
_atom_site_label
_atom_site_type_symbol
_atom_site_fract_x
_atom_site_fract_y
_atom_site_fract_z
_atom_site_occupancy
Mg1 Mg 0.000 0.000 0.000 1
Si1 Si 0.000 0.000 0.500 1
Si2 Si 0.000 0.500 0.750 1
Hg1 Hg 0.000 0.500 0.250 1



Model x:
# MgSi2Hg, optimized geometry, DFT PBE
# N(E_F) (states/eV per cell): 3.9
data_MgSi2Hg
_symmetry_space_group_name_H-M 'R -3 m'
_symmetry_Int_Tables_number 166
_symmetry_space_group_name_Hall '-R 3 2"'
_cell_length_a 2.8827
_cell_length_b 2.8827
_cell_length_c 32.8967
_cell_angle_alpha 90.00
_cell_angle_beta 90.00
_cell_angle_gamma 120.00
loop_
_atom_site_label
_atom_site_type_symbol
_atom_site_fract_x
_atom_site_fract_y
_atom_site_fract_z
_atom_site_occupancy
Mg1 Mg 0.0000 0.0000 0.0000 1
Si1 Si 0.0000 0.0000 0.2605 1
Hg1 Hg 0.0000 0.0000 0.5000 1



model x is the least stable structure shown above.